VASP calculation (PBE-GGA) on crystalline TiIr2W2 at its relaxed geometry.

Geometry as extended XYZ:
```
5
Lattice="-1.974 1.974 5.777 1.974 -1.974 5.777 1.974 1.974 -5.777" Properties=species:S:1:pos:R:3 pbc="T T T"
Ti 0.000 0.000 0.000
Ir 1.974 0.000 2.888
Ir 0.000 1.974 2.888
W 0.000 0.000 4.523
W 0.000 0.000 7.030
```

Properties
Relative energy among the computed polymorphs in eV/atom: 0.407

VASP calculation (PBE-GGA) on crystalline TiIr2W at its relaxed geometry.

Geometry as extended XYZ:
```
4
Lattice="0.000 3.142 3.142 3.142 0.000 3.142 3.142 3.142 0.000" Properties=species:S:1:pos:R:3 pbc="T T T"
Ti 0.000 0.000 0.000
Ir 1.571 1.571 1.571
Ir 4.713 4.713 4.713
W 3.142 3.142 3.142
```

Properties
Relative energy among the computed polymorphs in eV/atom: 0.321

VASP calculation (PBE-GGA) on crystalline Ti2IrW at its relaxed geometry.

Geometry as extended XYZ:
```
4
Lattice="0.000 3.130 3.130 3.130 0.000 3.130 3.130 3.130 0.000" Properties=species:S:1:pos:R:3 pbc="T T T"
Ti 1.565 1.565 1.565
Ti 4.696 4.696 4.696
Ir 0.000 0.000 0.000
W 3.130 3.130 3.130
```

Properties
Relative energy among the computed polymorphs in eV/atom: 0.010

VASP calculation (PBE-GGA) on crystalline TiIrW3 at its relaxed geometry.

Geometry as extended XYZ:
```
5
Lattice="4.488 0.000 0.000 0.000 4.488 0.000 0.000 0.000 4.488" Properties=species:S:1:pos:R:3 pbc="T T T"
Ti 0.000 0.000 0.000
Ir 2.244 2.244 2.244
W 0.000 0.000 2.244
W 0.000 2.244 0.000
W 2.244 0.000 0.000
```

Properties
Relative energy among the computed polymorphs in eV/atom: 0.157

VASP calculation (PBE-GGA) on crystalline TiIr3W at its relaxed geometry.

Geometry as extended XYZ:
```
5
Lattice="4.719 0.000 0.000 0.000 4.719 0.000 0.000 0.000 4.719" Properties=species:S:1:pos:R:3 pbc="T T T"
Ti 0.000 0.000 0.000
Ir 0.000 2.360 2.360
Ir 2.360 0.000 2.360
Ir 2.360 2.360 0.000
W 2.360 2.360 2.360
```

Properties
Relative energy among the computed polymorphs in eV/atom: 0.000

VASP calculation (PBE-GGA) on crystalline Ti3Ir2W at its relaxed geometry.

Geometry as extended XYZ:
```
6
Lattice="3.142 0.000 0.000 0.000 3.142 0.000 0.000 0.000 9.343" Properties=species:S:1:pos:R:3 pbc="T T T"
Ti 0.000 0.000 0.000
Ti 0.000 0.000 3.130
Ti 0.000 0.000 6.213
Ir 1.571 1.571 1.505
Ir 1.571 1.571 7.838
W 1.571 1.571 4.671
```

VASP calculation (PBE-GGA) on crystalline Ti4Ir2W at its relaxed geometry.

Geometry as extended XYZ:
```
7
Lattice="-3.120 3.120 3.029 3.120 -3.120 3.029 3.120 3.120 -3.029" Properties=species:S:1:pos:R:3 pbc="T T T"
Ti 1.560 1.560 -1.515
Ti 1.560 -1.560 1.515
Ti -1.560 1.560 1.515
Ti 1.560 1.560 1.515
Ir 3.120 0.000 0.000
Ir 0.000 3.120 0.000
W 0.000 0.000 0.000
```

VASP calculation (PBE-GGA) on crystalline Ti3IrW at its relaxed geometry.

Geometry as extended XYZ:
```
5
Lattice="4.652 0.000 0.000 0.000 4.652 0.000 0.000 0.000 4.652" Properties=species:S:1:pos:R:3 pbc="T T T"
Ti 0.000 0.000 2.326
Ti 0.000 2.326 0.000
Ti 2.326 0.000 0.000
Ir 2.326 2.326 2.326
W 0.000 0.000 0.000
```

Properties
Relative energy among the computed polymorphs in eV/atom: 0.254

VASP calculation (PBE-GGA) on crystalline Ti2IrW at its relaxed geometry.

Geometry as extended XYZ:
```
8
Lattice="-3.533 3.533 2.693 3.533 -3.533 2.693 3.533 3.533 -2.693" Properties=species:S:1:pos:R:3 pbc="T T T"
Ti 1.766 1.651 -0.673
Ti 1.882 -1.766 3.367
Ti 1.766 1.882 2.020
Ti 1.651 5.299 0.673
Ir 0.000 0.000 0.000
Ir 0.000 3.533 1.347
W 3.533 0.000 1.347
W 0.000 0.000 2.693
```

Properties
Relative energy among the computed polymorphs in eV/atom: 0.689

VASP calculation (PBE-GGA) on crystalline Ti4IrW at its relaxed geometry.

Geometry as extended XYZ:
```
6
Lattice="4.374 0.000 0.000 -2.187 3.788 0.000 0.000 0.000 5.749" Properties=species:S:1:pos:R:3 pbc="T T T"
Ti 0.000 2.525 1.990
Ti 0.000 2.525 4.876
Ti 2.187 1.263 0.872
Ti 2.187 1.263 3.759
Ir 0.000 0.000 2.874
W 0.000 0.000 0.000
```

VASP calculation (PBE-GGA) on crystalline Ti3IrW at its relaxed geometry.

Geometry as extended XYZ:
```
5
Lattice="4.658 0.000 0.000 0.000 4.658 0.000 0.000 0.000 4.658" Properties=species:S:1:pos:R:3 pbc="T T T"
Ti 0.000 0.000 2.329
Ti 0.000 2.329 0.000
Ti 2.329 0.000 0.000
Ir 0.000 0.000 0.000
W 2.329 2.329 2.329
```

Properties
Relative energy among the computed polymorphs in eV/atom: 0.000

VASP calculation (PBE-GGA) on crystalline TiIr2W at its relaxed geometry.

Geometry as extended XYZ:
```
4
Lattice="3.986 0.000 0.000 0.000 3.986 0.000 0.000 0.000 3.807" Properties=species:S:1:pos:R:3 pbc="T T T"
Ti 0.000 0.000 0.000
Ir 0.000 1.993 1.904
Ir 1.993 0.000 1.904
W 1.993 1.993 0.000
```

Properties
Relative energy among the computed polymorphs in eV/atom: 0.000

Number 1: ΔH_f (0 K) 1.62 eV per formula unit. Number 2: ΔH_f (0 K) -0.60 eV per formula unit. Number 3: ΔH_f (0 K) -2.03 eV per formula unit. Number 4: ΔH_f (0 K) 9.61 eV per formula unit. Number 5: ΔH_f (0 K) 6.84 eV per formula unit. Number 6: ΔH_f (0 K) -3.71 eV per formula unit. Number 7: ΔH_f (0 K) -2.90 eV per formula unit. Number 8: ΔH_f (0 K) 5.50 eV per formula unit. Number 9: ΔH_f (0 K) 0.69 eV per formula unit. Number 10: ΔH_f (0 K) -2.12 eV per formula unit. Number 11: ΔH_f (0 K) 4.23 eV per formula unit. Number 12: ΔH_f (0 K) -1.88 eV per formula unit.